1.
A relaxed structure of La2GdNi9, computed with PBE.

Properties
energy of formation = -0.348 eV/atom
energy relative to the lowest polymorph listed for this composition = 0.00 kcal/mol of atoms
total moment = 0.08 μB/f.u.

Unit cell a=8.7828 b=8.7828 c=8.7828 alpha=32.98 beta=32.98 gamma=32.98
With the nearest neighbours (Å) after each atom.
Element x y z (fractional)
La 0.1384 0.1384 0.1384  12 Ni 2.89-3.22, 3 La 3.21
La 0.8616 0.8616 0.8616  12 Ni 2.89-3.22, 3 La 3.21
Gd 0.0000 0.0000 0.0000  18 Ni 2.88-3.18
Ni 0.0810 0.5788 0.5788  7 Ni 2.44-2.60
Ni 0.3325 0.3325 0.3325  6 Ni 2.44-2.46
Ni 0.4212 0.4212 0.9190  7 Ni 2.44-2.60
Ni 0.4212 0.9190 0.4212  7 Ni 2.44-2.60
Ni 0.5000 0.5000 0.5000  6 Ni 2.60
Ni 0.5788 0.0810 0.5788  7 Ni 2.44-2.60
Ni 0.5788 0.5788 0.0810  7 Ni 2.44-2.60
Ni 0.6675 0.6675 0.6675  6 Ni 2.44-2.46
Ni 0.9190 0.4212 0.4212  7 Ni 2.44-2.60



2.
A relaxed structure of GaNiW4N2, computed with PBE.

Properties
VASP energy = -9.532 eV/atom
total moment = 0.00 μB/f.u.

Unit cell a=2.8164 b=2.8164 c=14.6416 alpha=90.00 beta=90.00 gamma=120.00
With the nearest neighbours (Å) after each atom.
Element x y z (fractional)
Ga 0.0000 0.0000 0.0000  6 W 2.78, 6 Ga 2.82
Ni 0.3333 0.6667 0.5000  6 W 2.68, 6 Ni 2.82
W 0.0000 0.0000 0.3541  3 N 2.21
W 0.0000 0.0000 0.6459  3 N 2.21
W 0.3333 0.6667 0.1537  3 N 2.17
W 0.3333 0.6667 0.8463  3 N 2.17
N 0.6667 0.3333 0.2520  6 W 2.17-2.21
N 0.6667 0.3333 0.7480  6 W 2.17-2.21



3.
A relaxed structure of KCu, computed with PBE.

Properties
energy relative to the lowest polymorph listed for this composition = 7.98 kcal/mol of atoms

Unit cell a=5.1971 b=5.1971 c=5.1971 alpha=60.00 beta=60.00 gamma=60.00
With the nearest neighbours (Å) after each atom.
Element x y z (fractional)
K 0.0000 0.0000 0.0000  4 Cu 3.18
Cu 0.2500 0.2500 0.2500  4 K 3.18



Question: Number 3 is which compound?
Answer: KCu